TlNF4 | GGA-PBE | relaxed

POSCAR file:
```
TlNF4
1.0
4.871 0.000 0.000
0.000 6.247 0.000
0.000 0.000 15.241
F N Tl
16 4 4
Direct
0.027 0.811 0.068
0.250 0.821 0.456
0.027 0.689 0.568
0.973 0.189 0.932
0.973 0.311 0.432
0.750 0.321 0.044
0.250 0.679 0.956
0.527 0.311 0.432
0.473 0.689 0.568
0.750 0.375 0.756
0.250 0.875 0.744
0.473 0.811 0.068
0.750 0.179 0.544
0.527 0.189 0.932
0.250 0.625 0.244
0.750 0.125 0.256
0.250 0.677 0.050
0.750 0.177 0.450
0.250 0.823 0.550
0.750 0.323 0.950
0.750 0.761 0.794
0.250 0.239 0.206
0.250 0.261 0.706
0.750 0.739 0.294
```

Properties
energy = -3.89 eV/atom
symmetry = Pnma, No. 62
formation energy from raw total energies = -0.8623 eV per atom
crystal system = orthorhombic

Li2La2Rh4C | GGA-PBE | relaxed

POSCAR file:
```
Li2La2Rh4C
1.0
-4.858 3.578 0.971
-0.227 -6.012 1.072
4.891 0.236 3.656
Li Rh La C
2 4 2 1
Direct
0.500 0.750 0.250
0.500 0.250 0.750
0.476 0.238 0.238
0.524 0.762 0.762
0.000 0.762 0.238
0.000 0.238 0.762
0.000 0.707 0.707
0.000 0.293 0.293
0.000 0.000 0.000
```

Properties
energy = -6.05 eV/atom
symmetry = I4/mmm, No. 139
crystal system = tetragonal
DFT formation energy = -0.237 eV per atom

LaTiAlV | GGA-PBE | relaxed

POSCAR file:
```
LaTiAlV
1.0
2.967 0.000 -0.001
0.000 4.448 0.000
-1.435 0.000 6.043
La Al Ti V
1 1 1 1
Direct
0.281 0.000 0.010
0.625 0.500 0.694
0.924 0.500 0.307
0.055 0.000 0.518
```

Properties
energy = -6.25 eV/atom
symmetry = Pm, No. 6
crystal system = monoclinic
DFT formation energy = 0.167 eV per atom
excess energy over the best structure of this formula in the dataset = 122 meV per atom

SmEr3Pb2 | GGA-PBE | relaxed

POSCAR file:
```
SmEr3Pb2
1.0
4.552 0.000 0.000
0.000 4.552 0.000
0.000 0.000 8.556
Er Pb Sm
3 2 1
Direct
0.000 0.500 0.659
0.000 0.000 0.000
0.500 0.000 0.341
0.000 0.500 0.289
0.500 0.000 0.711
0.500 0.500 0.000
```

Properties
energy = -4.70 eV/atom
symmetry = P-4m2, No. 115
crystal system = tetragonal
DFT formation energy = -0.392 eV per atom
excess energy over the best structure of this formula in the dataset = 0 meV per atom

Be2HgP | GGA-PBE | relaxed

POSCAR file:
```
Be2HgP
1.0
4.599 -0.024 0.000
-0.532 4.568 0.000
0.000 0.000 2.710
Hg Be P
1 2 1
Direct
0.500 0.000 0.500
0.500 0.500 0.000
0.000 0.000 0.000
0.000 0.500 0.500
```

Properties
energy = -2.66 eV/atom
symmetry = Cmmm, No. 65
crystal system = orthorhombic
DFT formation energy = 0.631 eV per atom
excess energy over the best structure of this formula in the dataset = 509 meV per atom

Pm8Cd2Ag | GGA-PBE | relaxed

POSCAR file:
```
Pm8Cd2Ag
1.0
-0.215 4.908 -2.395
2.807 -2.593 -5.567
-8.314 -4.309 -1.847
Pm Ag Cd
8 1 2
Direct
0.592 0.413 0.184
0.967 0.243 0.933
0.033 0.757 0.067
0.326 0.092 0.652
0.212 0.593 0.424
0.788 0.407 0.576
0.674 0.908 0.348
0.408 0.587 0.816
0.500 0.000 0.000
0.148 0.150 0.296
0.852 0.850 0.704
```

Properties
energy = -4.02 eV/atom
symmetry = C2/m, No. 12
crystal system = monoclinic
DFT formation energy = -0.140 eV per atom
excess energy over the best structure of this formula in the dataset = 0 meV per atom

La2ScAl | GGA-PBE | relaxed

POSCAR file:
```
La2ScAl
1.0
-3.309 -0.804 -0.811
-0.289 -1.815 2.979
-2.913 7.604 4.350
La Sc Al
2 1 1
Direct
0.500 0.500 0.279
0.000 0.000 0.955
0.000 0.000 0.544
0.500 0.500 0.721
```

Properties
energy = -5.15 eV/atom
symmetry = P4mm, No. 99
crystal system = tetragonal
DFT formation energy = -0.163 eV per atom

Ag3Pd2O2F3 | GGA-PBE | relaxed

POSCAR file:
```
Ag3Pd2O2F3
1.0
-1.705 -3.749 0.460
3.203 -1.703 -2.005
3.880 1.642 9.088
Ag F Pd O
3 3 2 2
Direct
0.114 0.114 0.228
0.886 0.886 0.772
0.500 0.500 0.000
0.000 0.000 0.000
0.388 0.388 0.776
0.612 0.612 0.224
0.750 0.250 0.500
0.250 0.750 0.500
0.769 0.769 0.539
0.231 0.231 0.461
```

Properties
energy = -3.94 eV/atom
symmetry = I4/mmm, No. 139
formation energy from raw total energies = -0.4965 eV per atom
crystal system = tetragonal